{"formula": "PmY3Tm6", "functional": "PBE", "state": "optimized geometry", "lattice_angstrom": [[5.4924, -9.4096, 0.0000], [5.4924, 9.4096, 0.0000], [0.0000, 0.0000, 6.1274]], "species": ["Pm", "Pm", "Y", "Y", "Y", "Y", "Y", "Y", "Tm", "Tm", "Tm", "Tm", "Tm", "Tm", "Tm", "Tm", "Tm", "Tm", "Tm", "Tm"], "fractional_positions": [[0.2091, 0.7909, 0.5000], [0.7909, 0.2091, 0.0000], [0.0650, 0.2806, 0.3026], [0.2806, 0.0650, 0.8026], [0.3915, 0.6085, 0.4112], [0.6085, 0.3915, 0.9112], [0.7194, 0.9350, 0.3026], [0.9350, 0.7194, 0.8026], [0.0348, 0.4581, 0.7088], [0.0482, 0.9518, 0.2674], [0.2857, 0.7143, 0.9814], [0.2871, 0.3835, 0.8692], [0.3835, 0.2871, 0.3692], [0.4581, 0.0348, 0.2088], [0.5419, 0.9652, 0.7088], [0.6165, 0.7129, 0.8692], [0.7129, 0.6165, 0.3692], [0.7143, 0.2857, 0.4814], [0.9518, 0.0482, 0.7674], [0.9652, 0.5419, 0.2088]], "delta_e_f_ev_per_atom": 0.1419, "dos_ef_per_ev_atom": 1.409}